Record 1
Here is a relaxed structure of PmPu2C from Alexandria. Energies are from PBE.

a = 6.7125 Å, b = 6.7125 Å, c = 6.7125 Å
α = 34.27°, β = 34.27°, γ = 34.27°
Last column: nearest neighbours and their distance in Å.
Element x y z (fractional)
Pm (0.0000, 0.0000, 0.0000)  8 Pu 3.55-3.59, 6 C 3.90, 6 Pm 3.95
Pu (0.1897, 0.1897, 0.1897)  3 C 2.32, 3 Pu 2.44
Pu (0.8103, 0.8103, 0.8103)  3 C 2.32, 3 Pu 2.44
C (0.5000, 0.5000, 0.5000)  6 Pu 2.32

Output
SG   R-3m (166)
Raw total energy   -10.325 eV per atom
Density of states at the Fermi level   7.43 states/eV/f.u.
Energy relative to the lowest polymorph listed for this composition   94 meV per atom
E_form   0.334 eV/atom

=====

Record 2
Here is a relaxed structure of AsRhCl2 from Alexandria. Energies are from PBE.

a = 4.8550 Å, b = 4.8550 Å, c = 3.1147 Å
α = 90.00°, β = 90.00°, γ = 100.39°
Last column: nearest neighbours and their distance in Å.
Element x y z (fractional)
As (0.0000, 0.0000, 0.0000)  8 Cl 2.88, 2 Rh 3.11, 2 As 3.11
Rh (0.5000, 0.5000, 0.0000)  8 Cl 2.88, 2 As 3.11, 2 Rh 3.11
Cl (0.0000, 0.5000, 0.5000)  4 Rh 2.88, 4 As 2.88, 4 Cl 3.11
Cl (0.5000, 0.0000, 0.5000)  4 Rh 2.88, 4 As 2.88, 4 Cl 3.11

Output
SG   Cmmm (65)
Raw total energy   -3.302 eV per atom
Density of states at the Fermi level   4.03 states/eV/f.u.
Energy relative to the lowest polymorph listed for this composition   1221 meV per atom
Energy relative to the elements, uncorrected   2.49 eV per formula unit

=====

Record 3
Here is a relaxed structure of Sr2AgPb from Alexandria. Energies are from PBE.

a = 4.1016 Å, b = 4.1016 Å, c = 8.5315 Å
α = 90.00°, β = 90.00°, γ = 90.00°
Last column: nearest neighbours and their distance in Å.
Element x y z (fractional)
Sr (0.0000, 0.0000, 0.0000)  4 Pb 3.52, 1 Ag 3.58
Sr (0.5000, 0.5000, 0.3790)  1 Pb 3.30, 4 Ag 3.37
Ag (0.0000, 0.0000, 0.5798)  4 Pb 3.31, 5 Sr 3.37-3.58
Pb (0.5000, 0.5000, 0.7659)  5 Sr 3.30-3.52, 4 Ag 3.31

Output
SG   P4mm (99)
Raw total energy   -2.661 eV per atom
Density of states at the Fermi level   2.15 states/eV/f.u.
E_form   -0.180 eV/atom

=====

Record 4
Here is a relaxed structure of VAg2Hg from Alexandria. Energies are from PBE.

a = 10.8815 Å, b = 10.8815 Å, c = 10.8815 Å
α = 15.06°, β = 15.06°, γ = 15.06°
Last column: nearest neighbours and their distance in Å.
Element x y z (fractional)
V (0.0000, 0.0000, 0.0000)  2 Ag 2.62, 6 V 2.85
Ag (0.0813, 0.0813, 0.0813)  1 V 2.62, 6 Ag 2.85
Ag (0.9187, 0.9187, 0.9187)  1 V 2.62, 6 Ag 2.85
Hg (0.5000, 0.5000, 0.5000)  6 Hg 2.85

Output
SG   R-3m (166)
Raw total energy   -3.252 eV per atom
Density of states at the Fermi level   3.56 states/eV/f.u.
E_form   0.529 eV/atom

=====

Record 5
Here is a relaxed structure of NaCoBi2 from Alexandria. Energies are from PBE.

a = 5.0094 Å, b = 5.0094 Å, c = 5.0094 Å
α = 60.00°, β = 60.00°, γ = 60.00°
Last column: nearest neighbours and their distance in Å.
Element x y z (fractional)
Na (0.0000, 0.0000, 0.0000)  8 Bi 3.07
Co (0.5000, 0.5000, 0.5000)  8 Bi 3.07
Bi (0.2500, 0.2500, 0.2500)  4 Co 3.07, 4 Na 3.07
Bi (0.7500, 0.7500, 0.7500)  4 Co 3.07, 4 Na 3.07

Output
SG   Fm-3m (225)
Raw total energy   -3.818 eV per atom
Density of states at the Fermi level   3.01 states/eV/f.u.
Energy relative to the lowest polymorph listed for this composition   187 meV per atom
E_form   0.229 eV/atom

=====

Record 6
Here is a relaxed structure of HfSi2PC from Alexandria. Energies are from PBE.

a = 3.8612 Å, b = 3.8612 Å, c = 4.7626 Å
α = 90.00°, β = 90.00°, γ = 90.00°
Last column: nearest neighbours and their distance in Å.
Element x y z (fractional)
Hf (0.0000, 0.0000, 0.0000)  2 C 2.38
Si (0.0000, 0.5000, 0.5000)  2 C 1.93
Si (0.5000, 0.0000, 0.5000)  2 C 1.93
P (0.5000, 0.5000, 0.0000)  4 Hf 2.73
C (0.0000, 0.0000, 0.5000)  4 Si 1.93

Output
SG   P4/mmm (123)
Raw total energy   -6.775 eV per atom
Density of states at the Fermi level   1.99 states/eV/f.u.
Energy relative to the elements, uncorrected   1.56 eV per formula unit

=====

Record 7
Here is a relaxed structure of CrMoPb2 from Alexandria. Energies are from PBE.

a = 6.1747 Å, b = 6.1747 Å, c = 6.1747 Å
α = 103.31°, β = 103.31°, γ = 122.65°
Last column: nearest neighbours and their distance in Å.
Element x y z (fractional)
Cr (0.0000, 0.0000, 0.0000)  4 Pb 2.73, 2 Mo 2.96
Cr (0.7500, 0.2500, 0.5000)  4 Pb 2.73, 2 Mo 2.96
Mo (0.2500, 0.7500, 0.5000)  4 Pb 2.89, 2 Cr 2.96
Mo (0.5000, 0.5000, 0.0000)  4 Pb 2.89, 2 Cr 2.96
Pb (0.1094, 0.6250, 0.9844)  2 Cr 2.73, 2 Mo 2.89, 2 Pb 2.97
Pb (0.3750, 0.3594, 0.4844)  2 Cr 2.73, 2 Mo 2.89, 2 Pb 2.97
Pb (0.6406, 0.1250, 0.0156)  2 Cr 2.73, 2 Mo 2.89, 2 Pb 2.97
Pb (0.8750, 0.8906, 0.5156)  2 Cr 2.73, 2 Mo 2.89, 2 Pb 2.97

Output
SG   I-42d (122)
Raw total energy   -5.661 eV per atom
Density of states at the Fermi level   5.81 states/eV/f.u.
Energy relative to the lowest polymorph listed for this composition   926 meV per atom
E_form   1.307 eV/atom

=====

Record 8
Here is a relaxed structure of La2PmHoP4 from Alexandria. Energies are from PBE.

a = 7.2166 Å, b = 4.1702 Å, c = 7.2196 Å
α = 90.00°, β = 109.45°, γ = 90.00°
Last column: nearest neighbours and their distance in Å.
Element x y z (fractional)
La (0.0000, 0.0000, 0.0000)  6 P 3.01
La (0.5000, 0.5000, 0.0000)  6 P 2.97
Pm (0.0000, 0.5000, 0.5000)  6 P 2.92
Ho (0.5000, 0.0000, 0.5000)  6 P 2.89
P (0.2508, 0.0000, 0.7406)  1 Ho 2.89, 2 Pm 2.92, 3 La 2.97-3.01
P (0.2579, 0.5000, 0.2620)  2 Ho 2.89, 1 Pm 2.92, 3 La 2.97-3.01
P (0.7421, 0.5000, 0.7380)  2 Ho 2.89, 1 Pm 2.92, 3 La 2.97-3.01
P (0.7492, 0.0000, 0.2594)  1 Ho 2.89, 2 Pm 2.92, 3 La 2.97-3.01

Output
SG   P2/m (10)
Raw total energy   -6.671 eV per atom
Density of states at the Fermi level   0.71 states/eV/f.u.
E_form   -1.569 eV/atom

=====

Record 9
Here is a relaxed structure of CaGa3Cu3 from Alexandria. Energies are from PBE.

a = 6.6795 Å, b = 6.6795 Å, c = 6.6795 Å
α = 90.00°, β = 90.00°, γ = 90.00°
Last column: nearest neighbours and their distance in Å.
Element x y z (fractional)
Ca (0.0000, 0.0000, 0.0000)  12 Cu 3.73, 12 Ga 3.73
Ca (0.5000, 0.5000, 0.5000)  12 Cu 3.73, 12 Ga 3.73
Ga (0.0000, 0.2500, 0.5000)  4 Cu 2.36
Ga (0.0000, 0.7500, 0.5000)  4 Cu 2.36
Ga (0.2500, 0.5000, 0.0000)  4 Cu 2.36
Ga (0.5000, 0.0000, 0.2500)  4 Cu 2.36
Ga (0.5000, 0.0000, 0.7500)  4 Cu 2.36
Ga (0.7500, 0.5000, 0.0000)  4 Cu 2.36
Cu (0.0000, 0.5000, 0.2500)  4 Ga 2.36
Cu (0.0000, 0.5000, 0.7500)  4 Ga 2.36
Cu (0.2500, 0.0000, 0.5000)  4 Ga 2.36
Cu (0.5000, 0.2500, 0.0000)  4 Ga 2.36
Cu (0.5000, 0.7500, 0.0000)  4 Ga 2.36
Cu (0.7500, 0.0000, 0.5000)  4 Ga 2.36

Output
SG   Pm-3n (223)
Raw total energy   -3.258 eV per atom
Density of states at the Fermi level   2.75 states/eV/f.u.
Energy relative to the lowest polymorph listed for this composition   269 meV per atom
E_form   0.081 eV/atom

=====

Record 10
Here is a relaxed structure of YLuHgPt from Alexandria. Energies are from PBE.

a = 5.0474 Å, b = 5.0474 Å, c = 5.0474 Å
α = 60.00°, β = 60.00°, γ = 60.00°
Last column: nearest neighbours and their distance in Å.
Element x y z (fractional)
Y (0.0000, 0.0000, 0.0000)  4 Hg 3.09, 4 Pt 3.09
Lu (0.5000, 0.5000, 0.5000)  4 Hg 3.09, 4 Pt 3.09
Hg (0.7500, 0.7500, 0.7500)  4 Y 3.09, 4 Lu 3.09
Pt (0.2500, 0.2500, 0.2500)  4 Lu 3.09, 4 Y 3.09

Output
SG   F-43m (216)
Raw total energy   -5.172 eV per atom
Density of states at the Fermi level   1.82 states/eV/f.u.
E_form   -0.840 eV/atom

=====

| no. | total magnetization (μB/f.u.) |
| --- | --- |
| 1 | 1.13 |
| 2 | 1.27 |
| 3 | 0.00 |
| 4 | 0.92 |
| 5 | 0.78 |
| 6 | 0.00 |
| 7 | 1.69 |
| 8 | 0.00 |
| 9 | 0.00 |
| 10 | 0.00 |